(1)
A plane-wave DFT calculation with PBE was carried out for crystalline MnCoRh2 at its relaxed geometry.

Output
Total energy in eV/atom: -7.7108

Cell: 4.532 4.532 4.601 Å, 79.84 79.84 34.58°
Site moments in Bohr magnetons follow the coordinates.
Positions (direct):
1 Co 0.750 0.750 0.750  1.54
2 Mn 0.250 0.250 0.250  2.94
3 Rh 0.001 0.001 0.997  0.11
4 Rh 0.499 0.499 0.503  0.11

(2)
A plane-wave DFT calculation with PBE was carried out for crystalline MnCoRh2 at its relaxed geometry.

Output
Total energy in eV/atom: -7.7540

Cell: 4.507 4.507 4.507 Å, 130.40 130.40 72.77°
Site moments in Bohr magnetons follow the coordinates.
Positions (direct):
1 Co 0.250 0.750 0.500  1.48
2 Mn 0.750 0.250 0.500  2.63
3 Rh 0.000 0.000 0.000  0.02
4 Rh 0.500 0.500 0.000  0.02

(3)
A plane-wave DFT calculation with PBE was carried out for crystalline MnCoRh2 at its relaxed geometry.

Output
Total energy in eV/atom: -7.7048

Cell: 2.747 2.747 6.965 Å, 90.00 90.00 90.00°
Site moments in Bohr magnetons follow the coordinates.
Positions (direct):
1 Co 0.000 0.000 0.509  1.56
2 Mn 0.500 0.500 0.737  3.00
3 Rh 0.000 0.000 0.987  -0.11
4 Rh 0.500 0.500 0.268  0.28

(4)
A plane-wave DFT calculation with PBE was carried out for crystalline Mn2CoRh at its relaxed geometry.

Output
Total energy in eV/atom: -8.2159

Cell: 4.113 2.743 4.417 Å, 90.00 90.00 90.00°
Site moments in Bohr magnetons follow the coordinates.
Positions (direct):
1 Co 0.500 0.625 0.811  0.52
2 Mn 0.000 0.125 0.944  2.73
3 Mn 0.500 0.125 0.292  -2.83
4 Rh 0.000 0.625 0.452  0.03

(5)
A plane-wave DFT calculation with PBE was carried out for crystalline Mn2CoRh at its relaxed geometry.

Output
Total energy in eV/atom: -8.1616

Cell: 3.558 2.579 5.736 Å, 63.27 90.00 90.00°
Site moments in Bohr magnetons follow the coordinates.
Positions (direct):
1 Co 0.500 0.750 0.750  -0.19
2 Mn 0.000 0.019 0.981  1.34
3 Mn 0.000 0.481 0.519  1.34
4 Rh 0.500 0.250 0.250  -0.15

(6)
A plane-wave DFT calculation with PBE was carried out for crystalline MnCoRh2 at its relaxed geometry.

Output
Total energy in eV/atom: -7.6460

Cell: 8.470 8.470 8.470 Å, 18.39 18.39 18.39°
Site moments in Bohr magnetons follow the coordinates.
Positions (direct):
1 Co 0.497 0.497 0.497  1.67
2 Mn 0.753 0.753 0.753  2.77
3 Rh 0.004 0.004 0.004  -0.13
4 Rh 0.246 0.246 0.246  0.30

(7)
A plane-wave DFT calculation with PBE was carried out for crystalline Mn2CoRh at its relaxed geometry.

Output
Total energy in eV/atom: -8.0940

Cell: 8.402 8.402 8.402 Å, 17.96 17.96 17.96°
Site moments in Bohr magnetons follow the coordinates.
Positions (direct):
1 Co 0.747 0.747 0.747  1.66
2 Mn 0.999 0.999 0.999  2.26
3 Mn 0.253 0.253 0.253  -1.82
4 Rh 0.501 0.501 0.501  0.37

(8)
A plane-wave DFT calculation with PBE was carried out for crystalline MnCoRh2 at its relaxed geometry.

Output
Total energy in eV/atom: -7.6557

Cell: 8.534 8.534 8.534 Å, 17.94 17.94 17.94°
Site moments in Bohr magnetons follow the coordinates.
Positions (direct):
1 Co 0.250 0.250 0.250  1.79
2 Mn 0.750 0.750 0.750  1.37
3 Rh 0.001 0.001 0.001  0.18
4 Rh 0.499 0.499 0.499  0.18

(9)
A plane-wave DFT calculation with PBE was carried out for crystalline MnCoRh2 at its relaxed geometry.

Output
Total energy in eV/atom: -7.6999

Cell: 3.983 2.665 5.037 Å, 74.67 90.00 90.00°
Site moments in Bohr magnetons follow the coordinates.
Positions (direct):
1 Co 0.000 0.691 0.493  1.42
2 Mn 0.500 0.559 0.757  2.26
3 Rh 0.000 0.954 0.966  0.05
4 Rh 0.500 0.296 0.284  0.13

(10)
A plane-wave DFT calculation with PBE was carried out for crystalline Mn2CoRh at its relaxed geometry.

Output
Total energy in eV/atom: -8.1365

Cell: 2.582 2.582 7.089 Å, 90.00 90.00 90.00°
Site moments in Bohr magnetons follow the coordinates.
Positions (direct):
1 Co 0.500 0.500 0.750  0.01
2 Mn 0.000 0.000 0.987  1.51
3 Mn 0.000 0.000 0.513  1.51
4 Rh 0.500 0.500 0.250  -0.20

(11)
A plane-wave DFT calculation with PBE was carried out for crystalline Mn2CoRh at its relaxed geometry.

Output
Total energy in eV/atom: -8.1149

Cell: 4.395 4.395 4.441 Å, 79.67 79.67 34.04°
Site moments in Bohr magnetons follow the coordinates.
Positions (direct):
1 Co 0.746 0.746 0.772  -0.57
2 Mn 0.000 0.000 0.987  1.25
3 Mn 0.253 0.253 0.248  1.27
4 Rh 0.500 0.500 0.493  -0.08

(12)
A plane-wave DFT calculation with PBE was carried out for crystalline MnCoRuRh at its relaxed geometry.

Output
Total energy in eV/atom: -8.0523

Cell: 4.209 4.209 4.209 Å, 60.00 60.00 60.00°
Site moments in Bohr magnetons follow the coordinates.
Positions (direct):
1 Ru 0.000 0.000 0.000  0.34
2 Mn 0.250 0.250 0.250  3.03
3 Rh 0.500 0.500 0.500  0.36
4 Co 0.750 0.750 0.750  1.70

(13)
A plane-wave DFT calculation with PBE was carried out for crystalline TaMnCoRh at its relaxed geometry.

Output
Total energy in eV/atom: -9.0830

Cell: 4.329 4.329 4.329 Å, 60.00 60.00 60.00°
Site moments in Bohr magnetons follow the coordinates.
Positions (direct):
1 Co 0.750 0.750 0.750  1.20
2 Mn 0.500 0.500 0.500  3.59
3 Rh 0.250 0.250 0.250  0.49
4 Ta 0.000 0.000 0.000  -0.04

(14)
A plane-wave DFT calculation with PBE was carried out for crystalline TiMnCoRh at its relaxed geometry.

Output
Total energy in eV/atom: -8.2727

Cell: 4.252 4.252 4.252 Å, 60.00 60.00 60.00°
Site moments in Bohr magnetons follow the coordinates.
Positions (direct):
1 Co 0.000 0.000 0.000  1.14
2 Mn 0.750 0.750 0.750  3.48
3 Rh 0.500 0.500 0.500  0.43
4 Ti 0.250 0.250 0.250  -0.20

(15)
A plane-wave DFT calculation with PBE was carried out for crystalline Mn2CoRu at its relaxed geometry.

Output
Total energy in eV/atom: -8.5208

Cell: 8.426 8.426 8.426 Å, 17.61 17.61 17.61°
Site moments in Bohr magnetons follow the coordinates.
Positions (direct):
1 Co 0.747 0.747 0.747  1.52
2 Mn 0.999 0.999 0.999  1.29
3 Mn 0.253 0.253 0.253  -1.10
4 Ru 0.501 0.501 0.501  0.22

(16)
A plane-wave DFT calculation with PBE was carried out for crystalline MnCoRu2 at its relaxed geometry.

Output
Total energy in eV/atom: -8.3394

Cell: 4.132 4.132 4.132 Å, 60.00 60.00 60.00°
Positions (direct):
1 Ru 0.250 0.250 0.250
2 Ru 0.750 0.750 0.750
3 Mn 0.000 0.000 0.000
4 Co 0.500 0.500 0.500

(17)
A plane-wave DFT calculation with PBE was carried out for crystalline Mn2CoRu at its relaxed geometry.

Output
Total energy in eV/atom: -8.5425

Cell: 4.888 4.888 4.888 Å, 145.55 129.96 62.17°
Site moments in Bohr magnetons follow the coordinates.
Positions (direct):
1 Co 0.246 0.746 0.500  1.54
2 Mn 0.003 0.003 0.000  2.66
3 Mn 0.750 0.250 0.500  2.56
4 Ru 0.501 0.501 0.000  0.13

(18)
A plane-wave DFT calculation with PBE was carried out for crystalline MnCoRu2 at its relaxed geometry.

Output
Total energy in eV/atom: -8.5994

Cell: 2.650 3.666 5.195 Å, 90.00 90.00 90.00°
Site moments in Bohr magnetons follow the coordinates.
Positions (direct):
1 Co 0.000 0.000 0.506  0.13
2 Mn 0.500 0.500 0.738  2.17
3 Ru 0.000 0.000 0.997  -0.26
4 Ru 0.500 0.500 0.260  0.04

(19)
A plane-wave DFT calculation with PBE was carried out for crystalline MnCoRu2 at its relaxed geometry.

Output
Total energy in eV/atom: -8.3726

Cell: 2.623 2.623 8.452 Å, 90.00 90.00 113.98°
Site moments in Bohr magnetons follow the coordinates.
Positions (direct):
1 Co 0.500 0.500 0.250  1.78
2 Mn 0.500 0.500 0.750  2.76
3 Ru 0.000 0.000 0.999  0.46
4 Ru 0.000 0.000 0.501  0.46

(20)
A plane-wave DFT calculation with PBE was carried out for crystalline Mn4CoRu3 at its relaxed geometry.

Output
Total energy in eV/atom: -8.8929

Cell: 2.983 2.983 11.711 Å, 90.00 90.00 90.00°
Site moments in Bohr magnetons follow the coordinates.
Positions (direct):
1 Ru 0.500 0.500 0.244  -0.12
2 Ru 0.500 0.500 0.500  -0.04
3 Ru 0.500 0.500 0.756  -0.12
4 Mn 0.000 0.000 0.883  2.88
5 Mn 0.000 0.000 0.117  2.88
6 Mn 0.000 0.000 0.372  -2.98
7 Mn 0.000 0.000 0.628  -2.98
8 Co 0.500 0.500 0.000  1.35

(21)
A plane-wave DFT calculation with PBE was carried out for crystalline MnCoRu2 at its relaxed geometry.

Output
Total energy in eV/atom: -8.5864

Cell: 4.479 4.479 2.640 Å, 90.00 90.00 107.86°
Site moments in Bohr magnetons follow the coordinates.
Positions (direct):
1 Co 0.500 0.000 0.500  -0.73
2 Mn 0.000 0.500 0.500  2.04
3 Ru 0.000 0.000 0.000  -0.24
4 Ru 0.500 0.500 0.000  -0.24

(22)
A plane-wave DFT calculation with PBE was carried out for crystalline Mn4CoRu at its relaxed geometry.

Output
Total energy in eV/atom: -8.6954

Cell: 4.610 4.610 4.610 Å, 60.00 60.00 60.00°
Site moments in Bohr magnetons follow the coordinates.
Positions (direct):
1 Mn 0.879 0.374 0.374  0.40
2 Mn 0.374 0.374 0.879  0.40
3 Mn 0.374 0.879 0.374  0.40
4 Mn 0.374 0.374 0.374  0.40
5 Co 0.000 0.000 0.000  1.30
6 Ru 0.750 0.750 0.750  -0.12

(23)
A plane-wave DFT calculation with PBE was carried out for crystalline Mn2CoRu at its relaxed geometry.

Output
Total energy in eV/atom: -8.3936

Cell: 2.548 2.548 8.348 Å, 90.00 90.00 114.78°
Site moments in Bohr magnetons follow the coordinates.
Positions (direct):
1 Co 0.500 0.500 0.762  1.69
2 Mn 0.000 0.000 0.001  1.98
3 Mn 0.500 0.500 0.242  1.52
4 Ru 0.000 0.000 0.496  0.34

(24)
A plane-wave DFT calculation with PBE was carried out for crystalline MnCoRu2 at its relaxed geometry.

Output
Total energy in eV/atom: -8.5686

Cell: 2.697 2.697 7.062 Å, 90.00 90.00 90.00°
Site moments in Bohr magnetons follow the coordinates.
Positions (direct):
1 Co 0.000 0.000 0.508  1.24
2 Mn 0.500 0.500 0.736  2.65
3 Ru 0.000 0.000 0.994  -0.32
4 Ru 0.500 0.500 0.262  0.18

(25)
A plane-wave DFT calculation with PBE was carried out for crystalline MnCoRu2 at its relaxed geometry.

Output
Total energy in eV/atom: -8.6300

Cell: 4.545 4.545 4.545 Å, 132.23 132.23 69.86°
Site moments in Bohr magnetons follow the coordinates.
Positions (direct):
1 Co 0.500 0.500 0.000  -0.67
2 Mn 0.750 0.250 0.500  2.25
3 Ru 0.000 0.000 0.000  -0.28
4 Ru 0.250 0.750 0.500  -0.12

(26)
A plane-wave DFT calculation with PBE was carried out for crystalline Mn2CoRu at its relaxed geometry.

Output
Total energy in eV/atom: -8.6204

Cell: 2.606 3.585 5.178 Å, 90.00 90.00 90.00°
Site moments in Bohr magnetons follow the coordinates.
Positions (direct):
1 Co 0.500 0.500 0.751  0.37
2 Mn 0.000 0.000 0.996  2.38
3 Mn 0.500 0.500 0.243  -2.23
4 Ru 0.000 0.000 0.510  0.26

(27)
A plane-wave DFT calculation with PBE was carried out for crystalline Mn14CoRu at its relaxed geometry.

Output
Total energy in eV/atom: -9.0010

Cell: 5.069 5.069 8.213 Å, 90.00 90.00 119.07°
Site moments in Bohr magnetons follow the coordinates.
Positions (direct):
1 Mn 0.192 0.808 0.000  1.81
2 Mn 0.695 0.305 0.000  1.91
3 Mn 0.047 0.453 0.500  -1.46
4 Mn 0.193 0.307 0.000  -1.91
5 Mn 0.547 0.953 0.500  -1.46
6 Mn 0.693 0.807 0.000  -1.91
7 Mn 0.377 0.118 0.752  -1.65
8 Mn 0.377 0.118 0.248  -1.65
9 Mn 0.882 0.623 0.752  -1.65
10 Mn 0.882 0.623 0.248  -1.65
11 Mn 0.376 0.624 0.752  1.86
12 Mn 0.376 0.624 0.248  1.86
13 Mn 0.882 0.118 0.743  2.01
14 Mn 0.882 0.118 0.257  2.01
15 Co 0.049 0.951 0.500  0.55
16 Ru 0.550 0.450 0.500  0.25

(28)
A plane-wave DFT calculation with PBE was carried out for crystalline Mn2CoRu at its relaxed geometry.

Output
Total energy in eV/atom: -8.0966

Cell: 3.496 3.496 8.573 Å, 78.23 78.23 90.00°
Positions (direct):
1 Ru 0.000 0.000 0.000
2 Ru 0.750 0.250 0.500
3 Mn 0.574 0.125 0.250
4 Mn 0.176 0.625 0.250
5 Mn 0.375 0.426 0.750
6 Mn 0.875 0.824 0.750
7 Co 0.500 0.500 0.000
8 Co 0.250 0.750 0.500